Record 1
Material: Pm2AlCl
Method: DFT, GGA-PBE
State: optimized geometry

The structure in POSCAR format:
```
Pm2AlCl
1.0
1.9057 1.1002 8.3761
-1.9057 1.1002 8.3761
0.0000 -2.2005 8.3761
Pm Al Cl
2 1 1
direct
0.2503 0.2503 0.2503
0.7497 0.7497 0.7497
0.0000 0.0000 0.0000
0.5000 0.5000 0.5000
```



Record 2
Material: Pm2AlCl
Method: DFT, GGA-PBE
State: optimized geometry

The structure in POSCAR format:
```
Pm2AlCl
1.0
1.8644 1.0764 8.6803
-1.8644 1.0764 8.6803
0.0000 -2.1529 8.6803
Pm Al Cl
2 1 1
direct
0.0000 0.0000 0.0000
0.1682 0.1682 0.1682
0.5841 0.5841 0.5841
0.7518 0.7518 0.7518
```



Record 3
Material: Pm4Al2Cl
Method: DFT, GGA-PBE
State: optimized geometry

The structure in POSCAR format:
```
Pm4Al2Cl
1.0
6.1949 -2.1540 0.0000
6.1949 2.1540 0.0000
-5.0872 0.0000 7.2613
Pm Al Cl
4 2 1
direct
0.0888 0.0888 0.3762
0.3242 0.3242 0.9180
0.6758 0.6758 0.0820
0.9112 0.9112 0.6238
0.3817 0.3817 0.3369
0.6183 0.6183 0.6631
0.0000 0.0000 0.0000
```



Record 4
Material: Pm2AlCl
Method: DFT, GGA-PBE
State: optimized geometry

The structure in POSCAR format:
```
Pm2AlCl
1.0
3.4436 0.0000 0.0000
0.0000 3.4436 0.0000
0.0000 0.0000 8.3432
Pm Al Cl
2 1 1
direct
0.0000 0.0000 0.2373
0.0000 0.0000 0.7627
0.5000 0.5000 0.0000
0.5000 0.5000 0.5000
```



Record 5
Material: PrAlCl
Method: DFT, GGA-PBE
State: optimized geometry

The structure in POSCAR format:
```
PrAlCl
1.0
19.0732 0.0000 0.0000
0.0000 3.9368 0.0000
0.0000 0.0000 3.9366
Pr Al Cl
4 4 4
direct
0.1364 0.2500 0.2492
0.3636 0.7500 0.7492
0.6364 0.2500 0.2508
0.8636 0.7500 0.7508
0.0000 0.2500 0.7499
0.0000 0.7500 0.2501
0.5000 0.2500 0.7501
0.5000 0.7500 0.2499
0.1915 0.7500 0.7491
0.3085 0.2500 0.2491
0.6915 0.7500 0.7509
0.8085 0.2500 0.2509
```



Record 6
Material: Pr6AlCl8
Method: DFT, GGA-PBE
State: optimized geometry

The structure in POSCAR format:
```
Pr6AlCl8
1.0
3.5999 2.0784 10.2827
-3.5999 2.0784 10.2827
0.0000 -4.1568 10.2827
Pr Al Cl
6 1 8
direct
0.1238 0.4444 0.7650
0.2350 0.8762 0.5556
0.4444 0.7650 0.1238
0.5556 0.2350 0.8762
0.7650 0.1238 0.4444
0.8762 0.5556 0.2350
0.5000 0.5000 0.5000
0.0586 0.7229 0.3908
0.1667 0.1667 0.1667
0.2771 0.6092 0.9414
0.3908 0.0586 0.7229
0.6092 0.9414 0.2771
0.7229 0.3908 0.0586
0.8333 0.8333 0.8333
0.9414 0.2771 0.6092
```



Record 7
Material: Pr2AlCl
Method: DFT, GGA-PBE
State: optimized geometry

The structure in POSCAR format:
```
Pr2AlCl
1.0
3.4955 0.0000 0.0000
0.0000 3.4955 0.0000
0.0000 0.0000 8.4283
Pr Al Cl
2 1 1
direct
0.0000 0.0000 0.2389
0.0000 0.0000 0.7611
0.5000 0.5000 0.0000
0.5000 0.5000 0.5000
```



Record 8
Material: Pr2AlCl
Method: DFT, GGA-PBE
State: optimized geometry

The structure in POSCAR format:
```
Pr2AlCl
1.0
1.9510 1.1264 8.3991
-1.9510 1.1264 8.3991
0.0000 -2.2528 8.3991
Pr Al Cl
2 1 1
direct
0.2505 0.2505 0.2505
0.7495 0.7495 0.7495
0.0000 0.0000 0.0000
0.5000 0.5000 0.5000
```



Record 9
Material: Pr7AlCl12
Method: DFT, GGA-PBE
State: optimized geometry

The structure in POSCAR format:
```
Pr7AlCl12
1.0
7.5035 4.3321 3.3323
-7.5035 4.3321 3.3323
0.0000 -8.6643 3.3323
Pr Al Cl
7 1 12
direct
0.0000 0.0000 0.0000
0.1619 0.3812 0.4671
0.3812 0.4671 0.1619
0.4671 0.1619 0.3812
0.5329 0.8381 0.6188
0.6188 0.5329 0.8381
0.8381 0.6188 0.5329
0.5000 0.5000 0.5000
0.0293 0.3324 0.1144
0.1144 0.0293 0.3324
0.1924 0.7202 0.5797
0.2798 0.4203 0.8076
0.3324 0.1144 0.0293
0.4203 0.8076 0.2798
0.5797 0.1924 0.7202
0.6676 0.8856 0.9707
0.7202 0.5797 0.1924
0.8076 0.2798 0.4203
0.8856 0.9707 0.6676
0.9707 0.6676 0.8856
```



Record 10
Material: Pr4AlCl5
Method: DFT, GGA-PBE
State: optimized geometry

The structure in POSCAR format:
```
Pr4AlCl5
1.0
9.3587 -2.0350 0.0000
9.3587 2.0350 0.0000
-2.2198 0.0000 8.4485
Pr Al Cl
4 1 5
direct
0.0002 0.0002 0.2444
0.9998 0.9998 0.7556
0.3417 0.3417 0.9041
0.6583 0.6583 0.0959
0.5000 0.5000 0.0000
0.1661 0.1661 0.3294
0.1714 0.1714 0.8622
0.5000 0.5000 0.5000
0.8286 0.8286 0.1378
0.8339 0.8339 0.6706
```



Record 11
Material: Pr2AlCl
Method: DFT, GGA-PBE
State: optimized geometry

The structure in POSCAR format:
```
Pr2AlCl
1.0
1.9021 1.0982 8.7596
-1.9021 1.0982 8.7596
0.0000 -2.1964 8.7596
Pr Al Cl
2 1 1
direct
0.0000 0.0000 0.0000
0.1689 0.1689 0.1689
0.5844 0.5844 0.5844
0.4170 0.4170 0.4170
```



Record 12
Material: PrAlCl6
Method: DFT, GGA-PBE
State: optimized geometry

The structure in POSCAR format:
```
PrAlCl6
1.0
3.2184 -6.2452 0.0000
3.2184 6.2452 0.0000
-1.7317 0.0000 6.1554
Pr Al Cl
1 1 6
direct
0.0000 0.0000 0.0000
0.5000 0.5000 0.5000
0.1573 0.4258 0.2856
0.2641 0.2641 0.7282
0.4258 0.1573 0.2856
0.5742 0.8427 0.7144
0.7359 0.7359 0.2718
0.8427 0.5742 0.7144
```



Number 1: formation energy (no corrections) -0.826 eV/atom. Number 2: formation energy (no corrections) -0.834 eV/atom. Number 3: formation energy (no corrections) -0.630 eV/atom. Number 4: formation energy (no corrections) -0.837 eV/atom. Number 5: formation energy (no corrections) -1.095 eV/atom. Number 6: formation energy (no corrections) -1.633 eV/atom. Number 7: formation energy (no corrections) -0.861 eV/atom. Number 8: formation energy (no corrections) -0.838 eV/atom. Number 9: formation energy (no corrections) -1.852 eV/atom. Number 10: formation energy (no corrections) -1.582 eV/atom. Number 11: formation energy (no corrections) -0.844 eV/atom. Number 12: formation energy (no corrections) -1.810 eV/atom.